# 1
First-principles (PBE) data for an optimized crystal structure of GaSn2IrBr, as listed in Alexandria.

The value obtained for the uncorrected formation energy is -0.27 eV per atom. The volume is 26.370 Å³/atom.

The space group is P4/mmm (No. 123) and the conventional cell measures 5.208, 5.208 and 4.861 Å, with angles of 90.00, 90.00 and 90.00 degrees. The asymmetric unit holds Ga at (0.000, 0.000, 0.000), Sn at (0.000, 0.500, 0.500), Ir at (0.000, 0.000, 0.500) and Br at (0.500, 0.500, 0.000).

=====

# 2
First-principles (PBE) data for an optimized crystal structure of TlGaIrBr2, as listed in Alexandria.

The value obtained for the uncorrected formation energy is 1.14 eV per atom. The volume is 37.099 Å³/atom.

The space group is P4/mmm (No. 123) and the conventional cell measures 5.832, 5.832 and 5.454 Å, with angles of 90.00, 90.00 and 90.00 degrees. The asymmetric unit holds Tl at (0.000, 0.000, 0.000), Ga at (0.000, 0.000, 0.500), Ir at (0.500, 0.500, 0.500) and Br at (0.000, 0.500, 0.000).